4
Lattice="0.6496 -5.3842 -1.4666 -4.4586 -3.4116 -0.2103 -1.9194 -1.8117 -4.9595" Properties=species:S:1:pos:R:3 comment="K2ZrW, relaxed, DFT PBE" energy_ev_per_atom=-3.71 volume_a3_per_atom=31.35 e_above_lowest_polymorph_ev_per_atom=1.375 formation_enthalpy_0k_ev_per_atom=2.215 n_ef_per_ev_atom=0.683 pbc="T T T"
W -2.8642 -5.3038 -3.3182
K -4.2963 -7.9556 -4.9773
K -1.4321 -2.6519 -1.6591
Zr 0.0000 0.0000 0.0000